1.
## Li2MnFe3O8 (PBEsol)

Data for Li2MnFe3O8 after structural relaxation.

POSCAR file:
```
Li2MnFe3O8
1.0
7.9743 0.0000 0.0000
0.0000 7.9743 0.0000
0.0000 0.0000 7.9743
Li Mn Fe O
8 4 12 32
Cartesian
0.0001 0.0001 0.0001
7.9742 3.9872 3.9870
1.9935 1.9935 1.9935
1.9937 5.9808 5.9806
3.9870 7.9742 3.9872
3.9872 3.9870 7.9742
5.9806 1.9937 5.9808
5.9808 5.9806 1.9937
0.9968 6.9775 2.9904
2.9904 0.9968 6.9775
4.9839 4.9839 4.9839
6.9775 2.9904 0.9968
0.9846 1.0090 4.9839
0.9968 3.0025 6.9653
1.0090 4.9839 0.9846
2.9782 2.9904 4.9717
2.9904 4.9717 2.9782
3.0025 6.9653 0.9968
4.9717 2.9782 2.9904
4.9839 0.9846 1.0090
4.9961 6.9775 6.9897
6.9653 0.9968 3.0025
6.9775 6.9897 4.9961
6.9897 4.9961 6.9775
0.8897 0.8999 3.0916
0.8956 7.0845 4.8870
0.8999 3.0916 0.8897
0.9011 4.8882 7.0732
1.0937 1.1038 6.8763
1.0925 2.8946 5.0797
1.0980 5.0808 2.8833
1.1038 6.8763 1.0937
2.8833 1.0980 5.0808
2.8891 2.8935 6.8705
2.8946 5.0797 1.0925
2.8935 6.8705 2.8891
3.0861 3.0861 3.0861
3.0872 4.8827 4.8769
3.0916 0.8897 0.8999
3.0974 7.0744 7.0787
4.8769 3.0872 4.8827
4.8827 4.8769 3.0872
4.8870 0.8956 7.0845
4.8882 7.0732 0.9011
5.0797 1.0925 2.8946
5.0808 2.8833 1.0980
5.0910 5.0852 6.8806
5.0852 6.8806 5.0910
6.8763 1.0937 1.1038
6.8705 2.8891 2.8935
6.8806 5.0910 5.0852
6.8818 6.8818 6.8818
7.0732 0.9011 4.8882
7.0744 7.0787 3.0974
7.0787 3.0974 7.0744
7.0845 4.8870 0.8956
```

Calculated values
Crystal system: cubic
E above lowest polymorph, eV per atom: 0.000
Magnetic moment, μB per atom: 0.50
E, eV/atom: -7.502



2.
## Li2MnFeP2O8 (PBEsol)

Data for Li2MnFeP2O8 after structural relaxation.

POSCAR file:
```
Li2MnFeP2O8
1.0
6.0160 0.0000 0.0000
0.0000 4.6906 0.0000
0.0000 0.0000 10.3128
Li Mn Fe P O
4 2 2 4 16
Cartesian
1.4934 1.1546 0.0000
1.4934 3.5360 5.1564
4.5226 1.1546 0.0000
4.5226 3.5360 5.1564
3.0080 1.2850 7.4088
3.0080 3.4056 2.2524
0.0000 1.0494 2.8929
0.0000 3.6412 8.0493
0.0000 1.5780 6.1103
0.0000 3.1126 0.9539
3.0080 0.8186 4.1870
3.0080 3.8720 9.3434
0.0000 0.0440 6.1436
0.0000 2.1523 4.6666
0.0000 2.5384 9.8230
0.0000 4.6466 0.9872
1.2262 2.2244 6.8367
1.2262 2.4662 1.6803
1.7741 0.2026 3.4417
1.7741 4.4880 8.5981
3.0080 0.1978 5.6056
3.0080 2.3413 9.3431
3.0080 2.3493 4.1867
3.0080 4.4928 0.4492
4.2419 0.2026 3.4417
4.2419 4.4880 8.5981
4.7898 2.2244 6.8367
4.7898 2.4662 1.6803
```

Calculated values
Crystal system: orthorhombic
Magnetic moment, μB per atom: 0.64
E, eV/atom: -7.446